(1)
! PBE LiLaCuH6, optimized geometry; values from VASP
! Electronic total energy: -3.65 eV per atom
! DOS at the Fermi energy: 0.37 states/eV/atom
&SYSTEM
  ibrav = 0, nat = 9, ntyp = 4
/
ATOMIC_SPECIES
Li 6.94 Li.upf
La 138.91 La.upf
Cu 63.55 Cu.upf
H 1.01 H.upf
CELL_PARAMETERS angstrom
4.533 0.000 0.000
-2.267 3.926 0.000
0.000 0.000 4.461
ATOMIC_POSITIONS angstrom
Li 0.000 0.000 0.000
La 2.267 1.309 2.231
Cu 0.000 2.617 0.000
H 0.000 1.369 1.175
H 0.000 1.369 3.286
H -1.081 3.241 1.175
H -1.081 3.241 3.286
H 1.081 3.241 1.175
H 1.081 3.241 3.286


(2)
! PBE LiLaCu2H6, optimized geometry; values from VASP
! Electronic total energy: -3.68 eV per atom
! DOS at the Fermi energy: 0.19 states/eV/atom
&SYSTEM
  ibrav = 0, nat = 10, ntyp = 4
/
ATOMIC_SPECIES
Li 6.94 Li.upf
La 138.91 La.upf
Cu 63.55 Cu.upf
H 1.01 H.upf
CELL_PARAMETERS angstrom
2.287 1.320 5.198
-2.287 1.320 5.198
0.000 -2.641 5.198
ATOMIC_POSITIONS angstrom
Li 0.000 0.000 0.000
La 0.000 0.000 7.797
Cu 0.000 0.000 4.471
Cu 0.000 0.000 11.123
H 0.000 -1.414 3.738
H -1.224 0.707 3.738
H -1.224 -0.707 11.857
H 1.224 0.707 3.738
H 1.224 -0.707 11.857
H 0.000 1.414 11.857


(3)
! PBE LaMgCu2H8, optimized geometry; values from VASP
! Electronic total energy: -3.57 eV per atom
! DOS at the Fermi energy: 0.35 states/eV/atom
&SYSTEM
  ibrav = 0, nat = 12, ntyp = 4
/
ATOMIC_SPECIES
La 138.91 La.upf
Mg 24.30 Mg.upf
Cu 63.55 Cu.upf
H 1.01 H.upf
CELL_PARAMETERS angstrom
4.527 0.000 0.000
-2.263 3.920 0.000
0.000 0.000 6.858
ATOMIC_POSITIONS angstrom
La 0.000 0.000 0.000
Mg 0.000 0.000 3.429
Cu 0.000 2.614 5.063
Cu 2.263 1.307 1.795
H -1.526 2.713 2.056
H 0.677 1.242 2.056
H 1.414 0.035 4.802
H 0.000 2.614 6.707
H 2.263 1.307 0.151
H 0.849 3.885 2.056
H 1.586 2.678 4.802
H 3.789 1.207 4.802


(4)
! PBE LaMgCu2H6, optimized geometry; values from VASP
! Electronic total energy: -3.70 eV per atom
! DOS at the Fermi energy: 0.13 states/eV/atom
&SYSTEM
  ibrav = 0, nat = 10, ntyp = 4
/
ATOMIC_SPECIES
La 138.91 La.upf
Mg 24.30 Mg.upf
Cu 63.55 Cu.upf
H 1.01 H.upf
CELL_PARAMETERS angstrom
2.328 1.344 5.363
-2.328 1.344 5.363
0.000 -2.688 5.363
ATOMIC_POSITIONS angstrom
La 0.000 0.000 0.000
Mg 0.000 0.000 8.045
Cu 0.000 0.000 3.530
Cu 0.000 0.000 12.561
H -1.094 -0.631 6.479
H 0.000 -1.263 9.612
H -1.094 0.631 9.612
H 1.094 -0.631 6.479
H 0.000 1.263 6.479
H 1.094 0.631 9.612


(5)
! PBE LaMnCuH6, optimized geometry; values from VASP
! Electronic total energy: -4.54 eV per atom
! DOS at the Fermi energy: 0.32 states/eV/atom
&SYSTEM
  ibrav = 0, nat = 9, ntyp = 4
/
ATOMIC_SPECIES
La 138.91 La.upf
Mn 54.94 Mn.upf
Cu 63.55 Cu.upf
H 1.01 H.upf
CELL_PARAMETERS angstrom
4.513 0.000 0.000
-2.257 3.909 0.000
0.000 0.000 4.534
ATOMIC_POSITIONS angstrom
La 0.000 0.000 0.000
Mn 2.257 1.303 2.267
Cu 0.000 2.606 2.267
H 2.257 0.064 1.136
H 2.257 0.064 3.399
H 1.184 1.922 1.136
H 1.184 1.922 3.399
H 3.330 1.922 1.136
H 3.330 1.922 3.399


(6)
! PBE NaLaCu2H6, optimized geometry; values from VASP
! Electronic total energy: -3.68 eV per atom
&SYSTEM
  ibrav = 0, nat = 20, ntyp = 4
/
ATOMIC_SPECIES
Na 22.99 Na.upf
La 138.91 La.upf
Cu 63.55 Cu.upf
H 1.01 H.upf
CELL_PARAMETERS angstrom
4.338 -4.911 0.000
4.338 4.911 0.000
-1.090 0.000 5.279
ATOMIC_POSITIONS angstrom
Na 3.520 4.103 3.959
Na 4.065 -4.103 1.320
La 4.065 1.723 1.320
La 3.520 -1.723 3.959
Cu 1.712 0.985 3.718
Cu 2.257 -0.985 1.078
Cu 5.329 0.985 4.200
Cu 5.873 -0.985 1.561
H 3.107 3.765 1.917
H 2.056 2.390 4.420
H 5.023 3.765 0.722
H 2.482 0.066 2.532
H 1.937 -0.066 5.171
H 4.985 2.390 3.498
H 2.601 -2.390 1.781
H 5.648 0.066 0.107
H 5.103 -0.066 2.747
H 2.562 -3.765 4.556
H 5.529 -2.390 0.859
H 4.478 -3.765 3.362


(7)
! PBE LaNb2CuH, optimized geometry; values from VASP
! Electronic total energy: -4.91 eV per atom
! DOS at the Fermi energy: 1.60 states/eV/atom
&SYSTEM
  ibrav = 0, nat = 5, ntyp = 4
/
ATOMIC_SPECIES
La 138.91 La.upf
Nb 92.91 Nb.upf
Cu 63.55 Cu.upf
H 1.01 H.upf
CELL_PARAMETERS angstrom
5.130 0.000 0.000
0.000 5.130 0.000
0.000 0.000 3.620
ATOMIC_POSITIONS angstrom
La 0.000 0.000 0.000
Nb 0.000 2.565 0.000
Nb 2.565 0.000 0.000
Cu 2.565 2.565 1.810
H 0.000 0.000 1.810


(8)
! PBE LaCuNiH6, optimized geometry; values from VASP
! Electronic total energy: -4.20 eV per atom
! DOS at the Fermi energy: 0.22 states/eV/atom
&SYSTEM
  ibrav = 0, nat = 9, ntyp = 4
/
ATOMIC_SPECIES
La 138.91 La.upf
Cu 63.55 Cu.upf
Ni 58.69 Ni.upf
H 1.01 H.upf
CELL_PARAMETERS angstrom
4.461 0.000 0.000
-2.230 3.863 0.000
0.000 0.000 4.523
ATOMIC_POSITIONS angstrom
La 0.000 0.000 0.000
Cu 0.000 2.576 2.261
Ni 2.230 1.288 2.261
H 2.230 0.053 1.181
H 2.230 0.053 3.342
H 1.161 1.905 1.181
H 1.161 1.905 3.342
H 3.300 1.905 1.181
H 3.300 1.905 3.342


(9)
! PBE La2CuNiH, optimized geometry; values from VASP
! Electronic total energy: -4.85 eV per atom
! DOS at the Fermi energy: 0.81 states/eV/atom
&SYSTEM
  ibrav = 0, nat = 5, ntyp = 4
/
ATOMIC_SPECIES
La 138.91 La.upf
Cu 63.55 Cu.upf
Ni 58.69 Ni.upf
H 1.01 H.upf
CELL_PARAMETERS angstrom
5.057 0.000 0.000
0.000 5.057 0.000
0.000 0.000 3.741
ATOMIC_POSITIONS angstrom
La 0.000 2.528 0.000
La 2.528 0.000 0.000
Cu 0.000 0.000 1.870
Ni 2.528 2.528 1.870
H 0.000 0.000 0.000


(10)
! PBE La2CuNiH, optimized geometry; values from VASP
! Electronic total energy: -4.93 eV per atom
! DOS at the Fermi energy: 0.57 states/eV/atom
&SYSTEM
  ibrav = 0, nat = 10, ntyp = 4
/
ATOMIC_SPECIES
La 138.91 La.upf
Cu 63.55 Cu.upf
Ni 58.69 Ni.upf
H 1.01 H.upf
CELL_PARAMETERS angstrom
6.428 0.000 0.000
0.000 4.300 0.000
-1.849 0.000 7.312
ATOMIC_POSITIONS angstrom
La 0.721 1.075 3.149
La -0.215 1.075 7.020
La 4.794 3.225 0.292
La 3.858 3.225 4.163
Cu 0.941 3.225 5.242
Cu 3.638 1.075 2.070
Ni 2.242 3.225 1.700
Ni 2.337 1.075 5.612
H 0.638 3.225 1.375
H 3.941 1.075 5.937


(11)
! PBE LaCuNi4H6, optimized geometry; values from VASP
! Electronic total energy: -4.58 eV per atom
! DOS at the Fermi energy: 0.45 states/eV/atom
&SYSTEM
  ibrav = 0, nat = 12, ntyp = 4
/
ATOMIC_SPECIES
La 138.91 La.upf
Cu 63.55 Cu.upf
Ni 58.69 Ni.upf
H 1.01 H.upf
CELL_PARAMETERS angstrom
4.359 0.000 0.000
-2.179 3.775 0.000
0.000 0.000 6.665
ATOMIC_POSITIONS angstrom
La 0.000 0.000 0.000
Cu 0.000 0.000 3.333
Ni 0.000 2.516 2.159
Ni 0.000 2.516 4.506
Ni 2.179 1.258 2.159
Ni 2.179 1.258 4.506
H -1.090 1.887 1.175
H -1.090 1.887 5.491
H 2.179 0.000 1.175
H 2.179 0.000 5.491
H 1.090 1.887 1.175
H 1.090 1.887 5.491


(12)
! PBE La2CuNiH, optimized geometry; values from VASP
! Electronic total energy: -4.89 eV per atom
! DOS at the Fermi energy: 0.98 states/eV/atom
&SYSTEM
  ibrav = 0, nat = 5, ntyp = 4
/
ATOMIC_SPECIES
La 138.91 La.upf
Cu 63.55 Cu.upf
Ni 58.69 Ni.upf
H 1.01 H.upf
CELL_PARAMETERS angstrom
5.175 0.000 0.000
0.000 5.175 0.000
0.000 0.000 3.585
ATOMIC_POSITIONS angstrom
La 0.000 2.587 0.000
La 2.587 0.000 0.000
Cu 0.000 0.000 1.792
Ni 2.587 2.587 1.792
H 2.587 2.587 0.000


electronic total energy of number 2 (LiLaCu2H6)? -3.68 eV per atom


electronic total energy of number 7 (LaNb2CuH)? -4.91 eV per atom


What did the tenth record say?
! PBE La2CuNiH, optimized geometry; values from VASP
! Electronic total energy: -4.93 eV per atom
! DOS at the Fermi energy: 0.57 states/eV/atom
&SYSTEM
  ibrav = 0, nat = 10, ntyp = 4
/
ATOMIC_SPECIES
La 138.91 La.upf
Cu 63.55 Cu.upf
Ni 58.69 Ni.upf
H 1.01 H.upf
CELL_PARAMETERS angstrom
6.428 0.000 0.000
0.000 4.300 0.000
-1.849 0.000 7.312
ATOMIC_POSITIONS angstrom
La 0.721 1.075 3.149
La -0.215 1.075 7.020
La 4.794 3.225 0.292
La 3.858 3.225 4.163
Cu 0.941 3.225 5.242
Cu 3.638 1.075 2.070
Ni 2.242 3.225 1.700
Ni 2.337 1.075 5.612
H 0.638 3.225 1.375
H 3.941 1.075 5.937